A plane-wave DFT calculation with PBE was carried out for crystalline GeS2N2 at its relaxed geometry.

Values from the calculation:
Energy relative to the elements, uncorrected   1.65 eV per atom
Polymorph energy (0 for the lowest one)   1.760 eV/atom

Unit cell a=3.9736 b=3.9736 c=4.0230 alpha=90.00 beta=90.00 gamma=90.00
Last column: nearest neighbours and their distance in Å.
Atoms (fractional coordinates):
Ge: 0.0000 0.0000 0.0000  4 N 2.81, 8 S 2.83
S: 0.0000 0.5000 0.5000  2 N 1.99
S: 0.5000 0.0000 0.5000  2 N 1.99
N: 0.5000 0.5000 0.0000  2 N 2.01
N: 0.5000 0.5000 0.5000  4 S 1.99, 2 N 2.01


A plane-wave DFT calculation with PBE was carried out for crystalline Cr2NiPb at its relaxed geometry.

Values from the calculation:
DFT formation energy   0.536 eV/atom

Unit cell a=2.9384 b=3.8575 c=5.4023 alpha=90.00 beta=90.09 gamma=90.00
Last column: nearest neighbours and their distance in Å.
Atoms (fractional coordinates):
Cr: 0.0013 0.0000 0.3207  1 Cr 1.94
Cr: 0.9987 0.0000 0.6793  1 Cr 1.94
Ni: 0.5000 0.5000 0.5000  8 Cr 2.61, 2 Pb 2.70
Pb: 0.5000 0.5000 0.0000  2 Ni 2.70, 2 Pb 2.94, 8 Cr 2.98


A plane-wave DFT calculation with PBE was carried out for crystalline GdLuIn4 at its relaxed geometry.

Values from the calculation:
DFT formation energy   -0.288 eV/atom

Unit cell a=5.9853 b=5.9853 c=5.9853 alpha=60.00 beta=60.00 gamma=60.00
Last column: nearest neighbours and their distance in Å.
Atoms (fractional coordinates):
Gd: 0.0000 0.0000 0.0000  12 In 3.51, 4 Lu 3.67
Lu: 0.2500 0.2500 0.2500  12 In 3.51, 4 Gd 3.67
In: 0.1251 0.6250 0.6250  6 In 2.99
In: 0.6250 0.1251 0.6250  6 In 2.99
In: 0.6250 0.6250 0.1251  6 In 2.99
In: 0.6250 0.6250 0.6250  6 In 2.99


A plane-wave DFT calculation with PBE was carried out for crystalline ZrSc2Cl at its relaxed geometry.

Values from the calculation:
Energy relative to the elements, uncorrected   0.11 eV per atom
Polymorph energy (0 for the lowest one)   0.747 eV/atom

Unit cell a=4.2880 b=4.2880 c=9.6105 alpha=90.00 beta=90.00 gamma=90.00
Last column: nearest neighbours and their distance in Å.
Atoms (fractional coordinates):
Zr: 0.0000 0.0000 0.0000  4 Cl 3.03, 8 Sc 3.22
Zr: 0.5000 0.5000 0.5000  4 Cl 3.03, 8 Sc 3.22
Sc: 0.0000 0.5000 0.2500  4 Sc 3.03, 4 Zr 3.22, 4 Cl 3.22
Sc: 0.0000 0.5000 0.7500  4 Sc 3.03, 4 Cl 3.22, 4 Zr 3.22
Sc: 0.5000 0.0000 0.2500  4 Sc 3.03, 4 Zr 3.22, 4 Cl 3.22
Sc: 0.5000 0.0000 0.7500  4 Sc 3.03, 4 Cl 3.22, 4 Zr 3.22
Cl: 0.0000 0.0000 0.5000  4 Zr 3.03, 8 Sc 3.22
Cl: 0.5000 0.5000 0.0000  4 Zr 3.03, 8 Sc 3.22


A plane-wave DFT calculation with PBE was carried out for crystalline HoLu2In at its relaxed geometry.

Values from the calculation:
DFT formation energy   0.097 eV/atom
Polymorph energy (0 for the lowest one)   0.351 eV/atom

Unit cell a=3.4215 b=3.4215 c=35.1916 alpha=90.00 beta=90.00 gamma=120.00
Last column: nearest neighbours and their distance in Å.
Atoms (fractional coordinates):
Ho: 0.0000 0.0000 0.0000  2 Lu 3.35, 6 Ho 3.42
Ho: 0.3333 0.6667 0.6667  2 Lu 3.35, 6 Ho 3.42
Ho: 0.6667 0.3333 0.3333  2 Lu 3.35, 6 Ho 3.42
Lu: 0.0000 0.0000 0.0952  3 In 3.20, 1 Ho 3.35, 6 Lu 3.42
Lu: 0.0000 0.0000 0.9048  3 In 3.20, 1 Ho 3.35, 6 Lu 3.42
Lu: 0.3333 0.6667 0.5715  3 In 3.20, 1 Ho 3.35, 6 Lu 3.42
Lu: 0.3333 0.6667 0.7619  3 In 3.20, 1 Ho 3.35, 6 Lu 3.42
Lu: 0.6667 0.3333 0.2381  3 In 3.20, 1 Ho 3.35, 6 Lu 3.42
Lu: 0.6667 0.3333 0.4285  3 In 3.20, 1 Ho 3.35, 6 Lu 3.42
In: 0.0000 0.0000 0.5000  6 Lu 3.20, 6 In 3.42
In: 0.3333 0.6667 0.1667  6 Lu 3.20, 6 In 3.42
In: 0.6667 0.3333 0.8333  6 Lu 3.20, 6 In 3.42


A plane-wave DFT calculation with PBE was carried out for crystalline MnFe2Ge at its relaxed geometry.

Values from the calculation:
DFT formation energy   1.056 eV/atom

Unit cell a=5.3700 b=5.3700 c=9.7652 alpha=90.00 beta=90.00 gamma=90.00
Last column: nearest neighbours and their distance in Å.
Atoms (fractional coordinates):
Mn: 0.0000 0.0000 0.0000  4 Fe 2.16
Mn: 0.0000 0.5000 0.2500  4 Fe 2.16
Mn: 0.5000 0.0000 0.7500  4 Fe 2.16
Mn: 0.5000 0.5000 0.5000  4 Fe 2.16
Fe: 0.2187 0.2500 0.1250  2 Mn 2.16, 2 Ge 2.36
Fe: 0.2500 0.7187 0.3750  2 Mn 2.16, 2 Ge 2.36
Fe: 0.2500 0.7813 0.8750  2 Mn 2.16, 2 Ge 2.36
Fe: 0.2813 0.2500 0.6250  2 Mn 2.16, 2 Ge 2.36
Fe: 0.7187 0.7500 0.6250  2 Mn 2.16, 2 Ge 2.36
Fe: 0.7500 0.2187 0.8750  2 Mn 2.16, 2 Ge 2.36
Fe: 0.7500 0.2813 0.3750  2 Mn 2.16, 2 Ge 2.36
Fe: 0.7813 0.7500 0.1250  2 Mn 2.16, 2 Ge 2.36
Ge: 0.0000 0.0000 0.5000  4 Fe 2.36
Ge: 0.0000 0.5000 0.7500  4 Fe 2.36
Ge: 0.5000 0.0000 0.2500  4 Fe 2.36
Ge: 0.5000 0.5000 0.0000  4 Fe 2.36


A plane-wave DFT calculation with PBE was carried out for crystalline BaTl3Cd3 at its relaxed geometry.

Values from the calculation:
DFT formation energy   0.311 eV/atom
Polymorph energy (0 for the lowest one)   0.463 eV/atom

Unit cell a=9.8789 b=9.8789 c=9.8789 alpha=60.00 beta=60.00 gamma=60.00
Last column: nearest neighbours and their distance in Å.
Atoms (fractional coordinates):
Ba: 0.2500 0.2500 0.2500  12 Tl 5.10, 12 Cd 5.14
Ba: 0.7500 0.7500 0.7500  12 Tl 5.10, 12 Cd 5.14
Tl: 0.1578 0.1578 0.8422  1 Cd 2.71
Tl: 0.1578 0.8422 0.1578  1 Cd 2.71
Tl: 0.1578 0.8422 0.8422  1 Cd 2.71
Tl: 0.8422 0.1578 0.1578  1 Cd 2.71
Tl: 0.8422 0.1578 0.8422  1 Cd 2.71
Tl: 0.8422 0.8422 0.1578  1 Cd 2.71
Cd: 0.3520 0.3520 0.6480  1 Tl 2.71, 4 Cd 2.92
Cd: 0.3520 0.6480 0.3520  1 Tl 2.71, 4 Cd 2.92
Cd: 0.3520 0.6480 0.6480  1 Tl 2.71, 4 Cd 2.92
Cd: 0.6480 0.3520 0.3520  1 Tl 2.71, 4 Cd 2.92
Cd: 0.6480 0.3520 0.6480  1 Tl 2.71, 4 Cd 2.92
Cd: 0.6480 0.6480 0.3520  1 Tl 2.71, 4 Cd 2.92


A plane-wave DFT calculation with PBE was carried out for crystalline NaHfMg2As at its relaxed geometry.

Values from the calculation:
DFT formation energy   0.358 eV/atom

Unit cell a=5.7406 b=5.7406 c=5.0998 alpha=90.00 beta=90.00 gamma=90.00
Last column: nearest neighbours and their distance in Å.
Atoms (fractional coordinates):
Na: 0.0000 0.0000 0.0000  8 Mg 3.84, 4 As 4.06
Hf: 0.5000 0.5000 0.5000  2 As 2.55
Mg: 0.0000 0.5000 0.5000  2 Hf 2.87
Mg: 0.5000 0.0000 0.5000  2 Hf 2.87
As: 0.5000 0.5000 0.0000  2 Hf 2.55


A plane-wave DFT calculation with PBE was carried out for crystalline PmNdH8Ir2 at its relaxed geometry.

Values from the calculation:
Total energy   -57.31 eV for the cell shown

Unit cell a=6.8357 b=6.8357 c=6.8357 alpha=41.74 beta=41.74 gamma=41.74
Last column: nearest neighbours and their distance in Å.
Atoms (fractional coordinates):
Pm: 0.0000 0.0000 0.0000  12 H 2.66-2.67
Nd: 0.5000 0.5000 0.5000  6 H 2.37
H: 0.1107 0.5307 0.5286  1 Ir 1.67
H: 0.1704 0.1704 0.1704  1 Ir 1.63
H: 0.4693 0.4714 0.8893  1 Ir 1.67
H: 0.4714 0.8893 0.4693  1 Ir 1.67
H: 0.5286 0.1107 0.5307  1 Ir 1.67
H: 0.5307 0.5286 0.1107  1 Ir 1.67
H: 0.8296 0.8296 0.8296  1 Ir 1.63
H: 0.8893 0.4693 0.4714  1 Ir 1.67
Ir: 0.2574 0.2574 0.2574  4 H 1.63-1.67
Ir: 0.7426 0.7426 0.7426  4 H 1.63-1.67


A plane-wave DFT calculation with PBE was carried out for crystalline CaLa5Zn4 at its relaxed geometry.

Values from the calculation:
DFT formation energy   -0.235 eV/atom

Unit cell a=3.8014 b=3.8014 c=20.2513 alpha=90.00 beta=90.00 gamma=90.00
Last column: nearest neighbours and their distance in Å.
Atoms (fractional coordinates):
Ca: 0.0000 0.0000 0.0000  4 Ca 3.80, 8 La 3.90
La: 0.5000 0.5000 0.1392  4 Zn 3.19
La: 0.5000 0.5000 0.3165  8 Zn 3.26-3.27, 1 La 3.59
La: 0.5000 0.5000 0.5000  8 Zn 3.28
La: 0.5000 0.5000 0.6835  8 Zn 3.26-3.27, 1 La 3.59
La: 0.5000 0.5000 0.8608  4 Zn 3.19
Zn: 0.0000 0.0000 0.2245  8 La 3.19-3.27
Zn: 0.0000 0.0000 0.4075  8 La 3.26-3.28
Zn: 0.0000 0.0000 0.5925  8 La 3.26-3.28
Zn: 0.0000 0.0000 0.7755  8 La 3.19-3.27


A plane-wave DFT calculation with PBE was carried out for crystalline ZrAlPt3 at its relaxed geometry.

Values from the calculation:
DFT formation energy   -0.161 eV/atom
Polymorph energy (0 for the lowest one)   0.000 eV/atom

Unit cell a=4.5664 b=4.5664 c=4.5664 alpha=90.00 beta=90.00 gamma=90.00
Last column: nearest neighbours and their distance in Å.
Atoms (fractional coordinates):
Zr: 0.0000 0.0000 0.0000  12 Pt 3.23
Al: 0.5000 0.5000 0.5000  6 Pt 2.28
Pt: 0.0000 0.5000 0.5000  2 Al 2.28
Pt: 0.5000 0.0000 0.5000  2 Al 2.28
Pt: 0.5000 0.5000 0.0000  2 Al 2.28


A plane-wave DFT calculation with PBE was carried out for crystalline CrReBAu at its relaxed geometry.

Values from the calculation:
DFT formation energy   0.187 eV/atom
Polymorph energy (0 for the lowest one)   0.050 eV/atom

Unit cell a=2.9173 b=2.9310 c=12.3054 alpha=90.00 beta=90.00 gamma=90.00
Last column: nearest neighbours and their distance in Å.
Atoms (fractional coordinates):
Cr: 0.0000 0.0000 0.0000  2 B 2.09
Cr: 0.0000 0.5000 0.5000  2 B 2.09
Re: 0.0000 0.0000 0.6832  4 B 2.20
Re: 0.0000 0.5000 0.1832  4 B 2.20
B: 0.5000 0.0000 0.1212  2 Cr 2.09, 4 Re 2.20
B: 0.5000 0.5000 0.6212  2 Cr 2.09, 4 Re 2.20
Au: 0.5000 0.0000 0.3554  4 Cr 2.73, 1 B 2.88, 4 Au 2.92-2.93, 4 Re 2.96
Au: 0.5000 0.5000 0.8554  4 Cr 2.73, 1 B 2.88, 4 Au 2.92-2.93, 4 Re 2.96


A plane-wave DFT calculation with PBE was carried out for crystalline KTlP2 at its relaxed geometry.

Values from the calculation:
DFT formation energy   0.401 eV/atom
Polymorph energy (0 for the lowest one)   0.580 eV/atom

Unit cell a=4.4423 b=4.4423 c=9.5923 alpha=90.00 beta=90.00 gamma=90.00
Last column: nearest neighbours and their distance in Å.
Atoms (fractional coordinates):
K: 0.0000 0.0000 0.0000  4 Tl 3.14, 8 P 3.27
K: 0.5000 0.5000 0.5000  4 Tl 3.14, 8 P 3.27
Tl: 0.0000 0.0000 0.5000  4 K 3.14, 8 P 3.27
Tl: 0.5000 0.5000 0.0000  4 K 3.14, 8 P 3.27
P: 0.0000 0.5000 0.2500  4 P 3.14, 4 K 3.27, 4 Tl 3.27
P: 0.0000 0.5000 0.7500  4 P 3.14, 4 Tl 3.27, 4 K 3.27
P: 0.5000 0.0000 0.2500  4 P 3.14, 4 K 3.27, 4 Tl 3.27
P: 0.5000 0.0000 0.7500  4 P 3.14, 4 Tl 3.27, 4 K 3.27


A plane-wave DFT calculation with PBE was carried out for crystalline P3RhW at its relaxed geometry.

Values from the calculation:
DFT formation energy   1.271 eV/atom
Polymorph energy (0 for the lowest one)   0.430 eV/atom

Unit cell a=4.4863 b=4.4863 c=4.4863 alpha=90.00 beta=90.00 gamma=90.00
Last column: nearest neighbours and their distance in Å.
Atoms (fractional coordinates):
P: 0.0000 0.0000 0.5000  2 Rh 2.24
P: 0.0000 0.5000 0.0000  2 Rh 2.24
P: 0.5000 0.0000 0.0000  2 Rh 2.24
Rh: 0.0000 0.0000 0.0000  6 P 2.24
W: 0.5000 0.5000 0.5000  12 P 3.17


A plane-wave DFT calculation with PBE was carried out for crystalline RbBSb2Au at its relaxed geometry.

Values from the calculation:
Energy relative to the elements, uncorrected   1.15 eV per atom

Unit cell a=5.3890 b=5.3890 c=6.1649 alpha=90.00 beta=90.00 gamma=90.00
Last column: nearest neighbours and their distance in Å.
Atoms (fractional coordinates):
Rb: 0.0000 0.0000 0.0000  2 Au 3.08
B: 0.5000 0.5000 0.0000  4 Rb 3.81, 8 Sb 4.09
Sb: 0.0000 0.5000 0.5000  2 Au 2.69
Sb: 0.5000 0.0000 0.5000  2 Au 2.69
Au: 0.0000 0.0000 0.5000  4 Sb 2.69


A plane-wave DFT calculation with PBE was carried out for crystalline Zr2SnPd9 at its relaxed geometry.

Values from the calculation:
DFT formation energy   -0.712 eV/atom

Unit cell a=4.0355 b=4.0355 c=12.1204 alpha=90.00 beta=90.00 gamma=90.00
Last column: nearest neighbours and their distance in Å.
Atoms (fractional coordinates):
Zr: 0.0000 0.0000 0.1674  12 Pd 2.82-2.86
Zr: 0.0000 0.0000 0.8326  12 Pd 2.82-2.86
Sn: 0.0000 0.0000 0.5000  12 Pd 2.85-2.88
Pd: 0.0000 0.5000 0.0000  8 Pd 2.85, 4 Zr 2.86
Pd: 0.0000 0.5000 0.3303  2 Zr 2.82, 8 Pd 2.84-2.88, 2 Sn 2.88
Pd: 0.0000 0.5000 0.6697  2 Zr 2.82, 8 Pd 2.84-2.88, 2 Sn 2.88
Pd: 0.5000 0.0000 0.0000  8 Pd 2.85, 4 Zr 2.86
Pd: 0.5000 0.0000 0.3303  2 Zr 2.82, 8 Pd 2.84-2.88, 2 Sn 2.88
Pd: 0.5000 0.0000 0.6697  2 Zr 2.82, 8 Pd 2.84-2.88, 2 Sn 2.88
Pd: 0.5000 0.5000 0.1660  8 Pd 2.84-2.85, 4 Zr 2.85
Pd: 0.5000 0.5000 0.5000  4 Sn 2.85, 8 Pd 2.88
Pd: 0.5000 0.5000 0.8340  8 Pd 2.84-2.85, 4 Zr 2.85


A plane-wave DFT calculation with PBE was carried out for crystalline LiU2Si3Pt4 at its relaxed geometry.

Values from the calculation:
Energy relative to the elements, uncorrected   -0.73 eV per atom

Unit cell a=4.0956 b=4.0956 c=10.2921 alpha=90.00 beta=90.00 gamma=90.00
Last column: nearest neighbours and their distance in Å.
Atoms (fractional coordinates):
Li: 0.0000 0.0000 0.0000  4 Pt 2.47
U: 0.0000 0.5000 0.7544  8 Pt 3.11-3.32, 6 Si 3.15-3.25, 2 Li 3.25
U: 0.5000 0.0000 0.2456  8 Pt 3.11-3.32, 6 Si 3.15-3.25, 2 Li 3.25
Si: 0.0000 0.5000 0.3653  5 Pt 2.38-2.47
Si: 0.5000 0.0000 0.6347  5 Pt 2.38-2.47
Si: 0.5000 0.5000 0.0000  4 Pt 2.47
Pt: 0.0000 0.0000 0.5000  4 Si 2.47
Pt: 0.0000 0.5000 0.1344  3 Si 2.38-2.47, 2 Li 2.47
Pt: 0.5000 0.0000 0.8656  3 Si 2.38-2.47, 2 Li 2.47
Pt: 0.5000 0.5000 0.5000  4 Si 2.47


A plane-wave DFT calculation with PBE was carried out for crystalline FeIr2Au at its relaxed geometry.

Values from the calculation:
DFT formation energy   0.143 eV/atom
Polymorph energy (0 for the lowest one)   0.017 eV/atom

Unit cell a=9.2671 b=2.7700 c=4.7507 alpha=90.00 beta=102.50 gamma=90.00
Last column: nearest neighbours and their distance in Å.
Atoms (fractional coordinates):
Fe: 0.0000 0.0000 0.0000  6 Ir 2.62-2.90, 4 Au 2.75, 2 Fe 2.77
Fe: 0.5000 0.5000 0.0000  6 Ir 2.62-2.90, 4 Au 2.75, 2 Fe 2.77
Ir: 0.2357 0.5000 0.2331  3 Fe 2.62-2.90, 6 Ir 2.67-2.85, 3 Au 2.75-2.86
Ir: 0.2643 0.0000 0.7669  3 Fe 2.62-2.90, 6 Ir 2.67-2.85, 3 Au 2.75-2.86
Ir: 0.7357 0.0000 0.2331  3 Fe 2.62-2.90, 6 Ir 2.67-2.85, 3 Au 2.75-2.86
Ir: 0.7643 0.5000 0.7669  3 Fe 2.62-2.90, 6 Ir 2.67-2.85, 3 Au 2.75-2.86
Au: 0.0000 0.5000 0.5000  4 Fe 2.75, 6 Ir 2.75-2.86, 2 Au 2.77
Au: 0.5000 0.0000 0.5000  4 Fe 2.75, 6 Ir 2.75-2.86, 2 Au 2.77


A plane-wave DFT calculation with PBE was carried out for crystalline Tb2DyPa at its relaxed geometry.

Values from the calculation:
DFT formation energy   0.118 eV/atom
Polymorph energy (0 for the lowest one)   0.000 eV/atom

Unit cell a=3.4377 b=3.4377 c=34.5782 alpha=90.00 beta=90.00 gamma=120.00
Last column: nearest neighbours and their distance in Å.
Atoms (fractional coordinates):
Tb: 0.0000 0.0000 0.0000  3 Pa 3.41, 6 Tb 3.44, 3 Dy 3.58
Tb: 0.0000 0.0000 0.1614  6 Tb 3.44, 3 Pa 3.44, 3 Dy 3.57
Tb: 0.3333 0.6667 0.6667  3 Pa 3.41, 6 Tb 3.44, 3 Dy 3.58
Tb: 0.3333 0.6667 0.8281  6 Tb 3.44, 3 Pa 3.44, 3 Dy 3.57
Tb: 0.6667 0.3333 0.3333  3 Pa 3.41, 6 Tb 3.44, 3 Dy 3.58
Tb: 0.6667 0.3333 0.4948  6 Tb 3.44, 3 Pa 3.44, 3 Dy 3.57
Dy: 0.0000 0.0000 0.5806  6 Dy 3.44, 6 Tb 3.57-3.58
Dy: 0.3333 0.6667 0.2473  6 Dy 3.44, 6 Tb 3.57-3.58
Dy: 0.6667 0.3333 0.9140  6 Dy 3.44, 6 Tb 3.57-3.58
Pa: 0.0000 0.0000 0.7467  6 Tb 3.41-3.44, 6 Pa 3.44
Pa: 0.3333 0.6667 0.4134  6 Tb 3.41-3.44, 6 Pa 3.44
Pa: 0.6667 0.3333 0.0801  6 Tb 3.41-3.44, 6 Pa 3.44


A plane-wave DFT calculation with PBE was carried out for crystalline AgMo2Br2 at its relaxed geometry.

Values from the calculation:
Energy relative to the elements, uncorrected   0.83 eV per atom
Polymorph energy (0 for the lowest one)   0.000 eV/atom

Unit cell a=4.1698 b=4.1698 c=12.2124 alpha=90.00 beta=90.00 gamma=90.00
Last column: nearest neighbours and their distance in Å.
Atoms (fractional coordinates):
Ag: 0.0000 0.0000 0.0000  8 Br 3.35, 8 Mo 3.70
Ag: 0.5000 0.5000 0.5000  8 Br 3.35, 8 Mo 3.70
Mo: 0.0000 0.5000 0.2500  4 Br 2.55
Mo: 0.0000 0.5000 0.7500  4 Br 2.55
Mo: 0.5000 0.0000 0.2500  4 Br 2.55
Mo: 0.5000 0.0000 0.7500  4 Br 2.55
Br: 0.0000 0.0000 0.3704  4 Mo 2.55
Br: 0.0000 0.0000 0.6296  4 Mo 2.55
Br: 0.5000 0.5000 0.1296  4 Mo 2.55
Br: 0.5000 0.5000 0.8704  4 Mo 2.55